[1]
4
Lattice="5.533 0.000 0.000 2.767 4.792 0.000 2.767 1.597 4.518" Properties=species:S:1:pos:R:3 comment="PBE-GGA KPmAgPb, optimized geometry" delta_e_f_ev_per_atom=-0.094 volume_a3_per_cell=120 spacegroup="F-43m (216)" pbc="T T T"
Pb 2.767 1.597 1.129
K 5.533 3.195 2.259
Ag 8.300 4.792 3.388
Pm 0.000 0.000 0.000

---

[2]
16
Lattice="-5.461 -0.030 -1.907 -0.749 -2.681 -6.584 -4.379 -11.594 3.949" Properties=species:S:1:pos:R:3 comment="PBE-GGA Cs2SmSiO4, optimized geometry" volume_a3_per_cell=480 e_form_raw_ev_per_atom=-2.174 spacegroup="Fddd (70)" pbc="T T T"
Cs -3.784 -7.412 2.179
Cs -6.056 -4.212 -0.137
Cs -7.255 -11.343 -0.977
Cs -6.064 -2.978 -4.519
Sm -6.660 -7.160 -2.748
Sm 0.000 0.000 0.000
Si -3.929 -7.145 -1.794
Si -2.730 -0.015 -0.954
O -2.901 -3.096 -6.021
O -5.716 -11.199 2.167
O -9.024 -13.101 -3.437
O -3.537 -1.215 -1.793
O -4.508 -6.746 -3.311
O -5.322 -7.556 -0.966
O -8.225 -8.365 -3.852
O -3.123 -5.945 -0.954

---

[3]
12
Lattice="4.488 0.000 0.000 0.000 9.039 0.336 -2.244 -2.590 9.456" Properties=species:S:1:pos:R:3 comment="PBE-GGA La3Tb2PrTe6, optimized geometry" volume_a3_per_cell=387 e_form_raw_ev_per_atom=-1.478 spacegroup="C2/m (12)" pbc="T T T"
La 2.244 4.520 0.168
La 2.244 -0.235 6.427
La 0.000 6.684 3.365
Tb 2.244 4.308 6.546
Tb 0.000 2.141 3.246
Pr 2.244 0.000 0.000
Te 0.000 6.466 6.583
Te 2.244 4.315 3.419
Te 2.244 -0.016 3.209
Te 0.000 2.245 0.176
Te 2.244 4.204 9.616
Te 0.000 2.134 6.373

---

[4]
5
Lattice="5.431 0.000 0.000 0.000 5.431 0.000 0.000 0.000 5.431" Properties=species:S:1:pos:R:3 comment="PBE-GGA CsCaP3, optimized geometry" delta_e_f_ev_per_atom=0.488 volume_a3_per_cell=160 relative_energy_kj_per_mol_atoms=0.0 spacegroup="Pm-3m (221)" pbc="T T T"
Cs 2.715 2.715 2.715
P 0.000 2.715 0.000
P 0.000 0.000 2.715
P 2.715 0.000 0.000
Ca 0.000 0.000 0.000

---

[5]
8
Lattice="6.799 0.000 0.000 0.000 6.799 0.000 3.399 3.399 3.810" Properties=species:S:1:pos:R:3 comment="PBE-GGA Mg2AuS, optimized geometry" volume_a3_per_cell=176 e_form_raw_ev_per_atom=-0.630 spacegroup="I-42d (122)" pbc="T T T"
S 3.399 3.399 0.000
S 3.399 6.799 1.905
Au 0.000 0.000 0.000
Au 6.799 3.399 1.905
Mg 4.895 1.700 0.953
Mg 1.904 5.099 0.953
Mg 5.099 5.303 2.858
Mg 8.498 8.294 2.858

---

[6]
18
Lattice="-0.660 -6.266 -1.310 7.151 0.354 -5.297 5.229 -1.999 6.927" Properties=species:S:1:pos:R:3 comment="PBE-GGA Hg4AsCl4, optimized geometry" volume_a3_per_cell=510 e_form_raw_ev_per_atom=-0.376 spacegroup="P4_2/nmc (137)" pbc="T T T"
Hg 7.996 -0.908 -0.495
Hg 10.541 -1.880 2.873
Hg 4.487 -3.618 -1.570
Hg 1.010 -3.791 1.008
Hg 3.725 -7.002 0.815
Hg 1.180 -6.030 -2.553
Hg 7.234 -4.292 1.890
Hg 10.712 -4.119 -0.687
As 2.600 -5.110 -0.575
As 9.121 -2.800 0.895
Cl 5.187 -1.074 -1.363
Cl 7.993 -0.936 -3.441
Cl 5.234 -3.746 -4.416
Cl 7.285 -4.530 -1.698
Cl 6.535 -6.836 1.684
Cl 3.728 -6.974 3.761
Cl 6.487 -4.164 4.736
Cl 4.436 -3.380 2.018

---

[7]
8
Lattice="-7.659 -0.094 -4.578 4.579 -0.031 -7.660 -1.512 -3.901 -6.087" Properties=species:S:1:pos:R:3 comment="PBE-GGA CaMgBr2, optimized geometry" volume_a3_per_cell=306 relative_energy_kj_per_mol_atoms=16.4 e_form_raw_ev_per_atom=-1.067 spacegroup="I-42d (122)" pbc="T T T"
Ca 0.000 0.000 0.000
Ca -5.356 -2.029 -8.392
Mg -1.540 -0.062 -6.119
Mg 0.763 -1.997 -9.933
Br -5.250 -1.046 -5.734
Br 2.184 -0.998 -6.488
Br -2.683 -2.970 -8.497
Br -3.437 -3.037 -15.931

---

[8]
18
Lattice="6.264 0.000 0.000 0.000 8.115 0.000 -3.132 0.000 8.159" Properties=species:S:1:pos:R:3 comment="PBE-GGA La2Mg3Au4, optimized geometry" delta_e_f_ev_per_atom=-0.655 volume_a3_per_cell=415 spacegroup="Cmce (64)" pbc="T T T"
La 0.000 4.764 1.806
La 3.132 3.351 6.353
La 0.000 0.706 6.353
La 3.132 7.408 1.806
Mg 0.000 0.000 0.000
Mg 3.132 4.057 0.000
Mg 1.566 6.086 4.610
Mg 4.698 2.029 3.549
Mg 1.566 2.029 3.549
Mg -1.566 6.086 4.610
Au 1.566 6.086 7.370
Au 4.698 2.029 0.789
Au 1.566 2.029 0.789
Au -1.566 6.086 7.370
Au 0.000 7.784 2.988
Au 3.132 0.330 5.171
Au 0.000 3.727 5.171
Au 3.132 4.388 2.988

---

[9]
10
Lattice="-2.317 3.307 -0.880 -3.260 -1.809 1.783 5.705 3.994 9.695" Properties=species:S:1:pos:R:3 comment="PBE-GGA NaAl2Zn2, optimized geometry" delta_e_f_ev_per_atom=0.053 volume_a3_per_cell=198 relative_energy_kj_per_mol_atoms=4.6 spacegroup="I4/mmm (139)" pbc="T T T"
Na -2.064 1.927 2.972
Na 2.192 3.565 7.625
Al -1.630 -0.905 0.892
Al 1.060 1.723 3.686
Al -1.158 1.654 -0.440
Al -0.931 3.769 6.912
Zn 0.300 4.025 4.633
Zn -0.292 4.808 9.134
Zn 0.421 0.684 1.464
Zn -0.171 1.467 5.965

---

[10]
17
Lattice="0.300 -4.056 -5.407 -4.290 -2.604 4.538 -2.163 6.125 -1.893" Properties=species:S:1:pos:R:3 comment="PBE-GGA Li4P6Ir7, optimized geometry" delta_e_f_ev_per_atom=-0.619 volume_a3_per_cell=238 spacegroup="Im-3m (229)" pbc="T T T"
Li 0.150 -2.028 -2.704
Li -3.077 -0.267 -1.381
Li -2.145 -1.302 2.269
Li -1.081 3.063 -0.946
P -1.277 1.418 -5.003
P -2.735 -4.565 -0.596
P -2.030 1.108 0.832
P -0.586 0.651 -2.296
P -1.255 -2.095 -0.273
P -4.423 2.414 1.813
Ir -2.461 -2.813 -2.260
Ir -4.224 0.096 1.105
Ir -3.609 -2.450 0.227
Ir -1.929 -0.630 -3.867
Ir -3.692 2.278 -0.502
Ir -2.545 1.915 -2.989
Ir 0.000 0.000 0.000

---

[11]
10
Lattice="8.722 0.000 0.000 0.000 8.722 0.000 4.361 4.361 6.166" Properties=species:S:1:pos:R:3 comment="PBE-GGA Rb2SrAgI6, optimized geometry" volume_a3_per_cell=469 e_form_raw_ev_per_atom=-1.046 spacegroup="Fm-3m (225)" pbc="T T T"
I 4.361 4.361 3.211
I 8.722 8.722 2.955
I 2.092 2.092 0.000
I 6.630 6.630 0.000
I 6.630 2.092 0.000
I 2.092 6.630 0.000
Sr 4.361 4.361 0.000
Rb 8.722 4.361 3.083
Rb 4.361 8.722 3.083
Ag 0.000 0.000 0.000

---

[12]
8
Lattice="-2.758 2.370 -1.269 0.767 -3.257 -1.907 -7.079 -5.098 5.861" Properties=species:S:1:pos:R:3 comment="PBE-GGA ScBe, optimized geometry" delta_e_f_ev_per_atom=0.029 volume_a3_per_cell=135 spacegroup="P6_3/mmc (194)" pbc="T T T"
Sc -1.169 -1.930 -1.064
Sc -5.883 -2.602 2.079
Sc -7.901 -4.055 3.750
Sc -3.186 -3.382 0.606
Be -1.770 -1.274 1.465
Be -5.309 -3.823 4.396
Be -5.717 -5.205 2.702
Be -3.353 -0.780 -0.016

---

[13]
4
Lattice="-0.951 0.814 -2.953 2.321 -4.913 -2.101 -3.222 -1.759 0.553" Properties=species:S:1:pos:R:3 comment="PBE-GGA MnNiCl2, optimized geometry" volume_a3_per_cell=69 relative_energy_kj_per_mol_atoms=39.2 e_form_raw_ev_per_atom=0.016 spacegroup="Pmmm (47)" pbc="T T T"
Ni -0.450 -3.336 -0.774
Mn -2.087 -0.473 -1.200
Cl 0.000 0.000 0.000
Cl 0.685 -2.050 -2.527

---

[14]
10
Lattice="3.591 0.000 0.000 0.000 8.330 -0.403 0.000 -4.447 11.261" Properties=species:S:1:pos:R:3 comment="PBE-GGA NbAgTe3, optimized geometry" volume_a3_per_cell=330 relative_energy_kj_per_mol_atoms=0.0 e_form_raw_ev_per_atom=-0.150 spacegroup="P2_1/m (11)" pbc="T T T"
Nb 0.898 0.566 1.959
Nb 2.693 3.317 8.899
Ag 0.898 -1.143 7.123
Ag 2.693 5.026 3.736
Te 0.898 -3.096 10.466
Te 2.693 6.978 0.393
Te 0.898 -1.092 4.161
Te 2.693 4.975 6.697
Te 0.898 1.358 8.260
Te 2.693 2.524 2.599

---

[15]
8
Lattice="4.131 -7.155 0.000 4.131 7.155 0.000 0.000 0.000 6.827" Properties=species:S:1:pos:R:3 comment="PBE-GGA Sr3Yb, optimized geometry" delta_e_f_ev_per_atom=0.004 volume_a3_per_cell=404 relative_energy_kj_per_mol_atoms=0.0 spacegroup="P6_3/mmc (194)" pbc="T T T"
Sr 2.093 1.208 1.707
Sr 6.170 1.208 1.707
Sr 4.131 4.739 1.707
Sr 6.170 -1.208 5.120
Sr 2.093 -1.208 5.120
Sr 4.131 -4.739 5.120
Yb 4.131 2.385 5.120
Yb 4.131 -2.385 1.707

---

[16]
10
Lattice="3.650 0.000 0.000 0.000 8.097 -2.208 0.000 -0.707 8.451" Properties=species:S:1:pos:R:3 comment="PBE-GGA Tm3FeHg, optimized geometry" delta_e_f_ev_per_atom=-0.230 volume_a3_per_cell=244 spacegroup="P2_1/m (11)" pbc="T T T"
Tm 2.737 5.168 2.094
Tm 0.912 2.223 4.149
Tm 2.737 1.872 7.044
Tm 0.912 7.063 4.467
Tm 0.912 5.518 -0.801
Tm 2.737 0.328 1.776
Fe 0.912 7.316 1.488
Fe 2.737 0.075 4.755
Hg 0.912 2.791 1.040
Hg 2.737 4.600 5.203

---

[17]
15
Lattice="-3.759 2.341 3.847 -2.017 -2.683 -4.811 -0.229 -6.292 3.605" Properties=species:S:1:pos:R:3 comment="PBE-GGA K3CdI2O9, optimized geometry" volume_a3_per_cell=216 e_form_raw_ev_per_atom=-0.874 spacegroup="P-3m1 (164)" pbc="T T T"
K -2.751 -5.212 0.484
K 0.000 0.000 0.000
K -3.255 -1.421 2.157
Cd -0.115 -3.146 1.803
I -2.637 -2.089 -1.305
I -3.368 -4.544 3.947
O -3.606 -2.900 4.789
O -4.542 -4.145 2.557
O -1.862 -3.986 3.004
O -4.144 -2.647 -0.362
O -1.463 -2.488 0.085
O -2.400 -3.734 -2.148
O -1.879 1.171 1.924
O -1.009 -1.342 -2.405
O -2.888 -0.171 -0.482

---

[18]
5
Lattice="4.463 0.000 0.000 0.000 3.737 0.000 0.000 0.000 4.463" Properties=species:S:1:pos:R:3 comment="PBE-GGA Be2GaAuC, optimized geometry" delta_e_f_ev_per_atom=1.475 volume_a3_per_cell=74 spacegroup="P4/mmm (123)" pbc="T T T"
Be 0.000 0.000 2.231
Be 2.231 0.000 0.000
C 0.000 1.869 0.000
Au 2.231 1.869 2.231
Ga 0.000 0.000 0.000

---

[19]
11
Lattice="-0.767 -2.134 -3.241 6.061 -4.955 1.829 -6.923 -0.363 4.290" Properties=species:S:1:pos:R:3 comment="PBE-GGA Mg3Ga4Ag4, optimized geometry" delta_e_f_ev_per_atom=-0.069 volume_a3_per_cell=217 relative_energy_kj_per_mol_atoms=5.9 spacegroup="Immm (71)" pbc="T T T"
Mg -1.005 -0.918 0.842
Mg -0.625 -6.534 2.036
Mg 3.030 -2.478 0.915
Ga -3.994 -1.541 1.959
Ga -0.071 -3.920 0.184
Ga 2.365 -5.911 0.919
Ga -1.558 -3.532 2.694
Ag 1.111 -4.231 2.523
Ag -2.740 -3.220 0.355
Ag 4.564 -5.112 -0.128
Ag 0.730 -1.977 -1.284

---

[20]
4
Lattice="5.348 0.000 0.000 2.674 4.631 0.000 2.674 1.544 4.366" Properties=species:S:1:pos:R:3 comment="PBE-GGA AcYSnRh, optimized geometry" delta_e_f_ev_per_atom=-0.499 volume_a3_per_cell=108 spacegroup="F-43m (216)" pbc="T T T"
Y 8.021 4.631 3.275
Ac 2.674 1.544 1.092
Rh 5.348 3.087 2.183
Sn 0.000 0.000 0.000

---

[21]
12
Lattice="-4.856 -3.899 1.863 -1.687 -0.836 -5.895 4.796 -6.211 -0.493" Properties=species:S:1:pos:R:3 comment="PBE-GGA Mn2HgPbCl8, optimized geometry" volume_a3_per_cell=316 e_form_raw_ev_per_atom=-0.929 spacegroup="P2/m (10)" pbc="T T T"
Mn 0.363 -7.074 -2.390
Mn -2.111 -3.871 -2.135
Hg 0.000 0.000 0.000
Pb 2.398 -3.105 -0.247
Cl -1.014 -2.785 -4.178
Cl 0.420 -9.351 -3.515
Cl -3.281 -4.861 -0.085
Cl -0.733 -8.160 -0.347
Cl -2.167 -1.594 -1.009
Cl 1.534 -6.084 -4.440
Cl -1.932 -6.214 -3.218
Cl 0.184 -4.731 -1.307

---

[22]
4
Lattice="-3.743 -3.080 0.176 1.406 -4.359 -1.598 1.887 2.996 3.316" Properties=species:S:1:pos:R:3 comment="PBE-GGA NiRuAu2, optimized geometry" delta_e_f_ev_per_atom=0.349 volume_a3_per_cell=62 relative_energy_kj_per_mol_atoms=14.9 spacegroup="I-4m2 (119)" pbc="T T T"
Au 0.000 0.000 0.000
Au 1.062 -2.541 0.503
Ni -1.169 -3.719 -0.711
Ru -1.513 -1.902 1.390

---

[23]
4
Lattice="0.000 3.288 3.288 3.288 0.000 3.288 3.288 3.288 0.000" Properties=species:S:1:pos:R:3 comment="PBE-GGA ScPdCl2, optimized geometry" volume_a3_per_cell=71 relative_energy_kj_per_mol_atoms=21.0 e_form_raw_ev_per_atom=-0.749 spacegroup="Fm-3m (225)" pbc="T T T"
Sc 0.000 0.000 0.000
Pd 3.288 3.288 3.288
Cl 1.644 1.644 1.644
Cl 4.931 4.931 4.931